16
Lattice="4.652 0.000 0.000 0.000 7.429 0.000 0.000 0.000 4.529" Properties=species:S:1:pos:R:3 comment="ZrBeNO, relaxed, DFT PBE-GGA" volume_a3_per_atom=9.782 polymorph_energy_mev_per_atom=0.0 energy_ev_per_atom=-8.4516 pbc="T T T"
Zr 0.021 1.062 0.000
Zr 2.305 1.062 2.265
Zr 2.347 6.368 0.000
Zr 4.631 6.368 2.265
Be 0.415 4.373 4.210
Be 1.911 4.373 1.946
Be 2.741 3.056 4.210
Be 4.237 3.056 1.946
N 0.015 1.298 2.266
N 2.311 1.298 0.001
N 2.341 6.131 2.266
N 4.637 6.131 0.001
O 0.440 4.227 2.583
O 1.885 4.227 0.319
O 2.766 3.203 2.583
O 4.211 3.203 0.319